# KAlPt2 PBE relaxed
# ΔE_f = -0.09 eV/atom
# Space-group type = P4mm, No. 99
data_KAlPt2
_cell_length_a 2.905
_cell_length_b 2.905
_cell_length_c 9.239
_cell_angle_alpha 90.00
_cell_angle_beta 90.00
_cell_angle_gamma 90.00
_space_group_name_H-M_alt 'P 1'
_space_group_IT_number 1
loop_
_space_group_symop_operation_xyz
'x,y,z'
loop_
_atom_site_label
_atom_site_type_symbol
_atom_site_fract_x
_atom_site_fract_y
_atom_site_fract_z
K1 K 0.000 0.000 0.000
Al1 Al 0.500 0.500 0.670
Pt1 Pt 0.000 0.000 0.496
Pt2 Pt 0.500 0.500 0.277

# KAlPt2 PBE relaxed
# ΔE_f = -0.18 eV/atom
# Space-group type = Immm, No. 71
data_KAlPt2
_cell_length_a 5.922
_cell_length_b 5.922
_cell_length_c 5.922
_cell_angle_alpha 151.73
_cell_angle_beta 122.33
_cell_angle_gamma 65.45
_space_group_name_H-M_alt 'P 1'
_space_group_IT_number 1
loop_
_space_group_symop_operation_xyz
'x,y,z'
loop_
_atom_site_label
_atom_site_type_symbol
_atom_site_fract_x
_atom_site_fract_y
_atom_site_fract_z
K1 K 0.000 0.000 0.000
Al1 Al 0.500 0.500 0.000
Pt1 Pt 0.306 0.806 0.500
Pt2 Pt 0.694 0.194 0.500

# KAlPt2 PBE relaxed
# ΔE_f = -0.43 eV/atom
# Space-group type = Cm, No. 8
data_KAlPt2
_cell_length_a 6.506
_cell_length_b 6.506
_cell_length_c 5.825
_cell_angle_alpha 90.17
_cell_angle_beta 90.17
_cell_angle_gamma 25.20
_space_group_name_H-M_alt 'P 1'
_space_group_IT_number 1
loop_
_space_group_symop_operation_xyz
'x,y,z'
loop_
_atom_site_label
_atom_site_type_symbol
_atom_site_fract_x
_atom_site_fract_y
_atom_site_fract_z
K1 K 0.000 0.000 0.000
Al1 Al 0.763 0.763 0.500
Pt1 Pt 0.106 0.106 0.500
Pt2 Pt 0.421 0.421 0.500

# KAlPt2 PBE relaxed
# ΔE_f = -0.54 eV/atom
# Space-group type = P4/mmm, No. 123
data_KAlPt2
_cell_length_a 2.983
_cell_length_b 2.983
_cell_length_c 8.418
_cell_angle_alpha 90.00
_cell_angle_beta 90.00
_cell_angle_gamma 90.00
_space_group_name_H-M_alt 'P 1'
_space_group_IT_number 1
loop_
_space_group_symop_operation_xyz
'x,y,z'
loop_
_atom_site_label
_atom_site_type_symbol
_atom_site_fract_x
_atom_site_fract_y
_atom_site_fract_z
K1 K 0.000 0.000 0.000
Al1 Al 0.000 0.000 0.500
Pt1 Pt 0.500 0.500 0.318
Pt2 Pt 0.500 0.500 0.682

# KAlPt2 PBE relaxed
# ΔE_f = -0.11 eV/atom
# Space-group type = I-42d, No. 122
data_KAlPt2
_cell_length_a 6.172
_cell_length_b 6.172
_cell_length_c 6.172
_cell_angle_alpha 104.71
_cell_angle_beta 104.71
_cell_angle_gamma 119.48
_space_group_name_H-M_alt 'P 1'
_space_group_IT_number 1
loop_
_space_group_symop_operation_xyz
'x,y,z'
loop_
_atom_site_label
_atom_site_type_symbol
_atom_site_fract_x
_atom_site_fract_y
_atom_site_fract_z
K1 K 0.000 0.000 0.000
K2 K 0.750 0.250 0.500
Al1 Al 0.250 0.750 0.500
Al2 Al 0.500 0.500 0.000
Pt1 Pt 0.203 0.125 0.578
Pt2 Pt 0.375 0.797 0.922
Pt3 Pt 0.547 0.625 0.422
Pt4 Pt 0.875 0.453 0.078

# KAlPt2 PBE relaxed
# ΔE_f = 0.15 eV/atom
# Space-group type = I-4m2, No. 119
data_KAlPt2
_cell_length_a 5.304
_cell_length_b 5.304
_cell_length_c 5.304
_cell_angle_alpha 134.98
_cell_angle_beta 134.98
_cell_angle_gamma 65.56
_space_group_name_H-M_alt 'P 1'
_space_group_IT_number 1
loop_
_space_group_symop_operation_xyz
'x,y,z'
loop_
_atom_site_label
_atom_site_type_symbol
_atom_site_fract_x
_atom_site_fract_y
_atom_site_fract_z
K1 K 0.000 0.000 0.000
Al1 Al 0.750 0.250 0.500
Pt1 Pt 0.250 0.750 0.500
Pt2 Pt 0.500 0.500 0.000

# KAl3Pt PBE relaxed
# ΔE_f = -0.18 eV/atom
# Energy relative to the lowest polymorph listed for this composition = 0.0000 eV/atom
# Space-group type = Pm-3m, No. 221
data_KAl3Pt
_cell_length_a 4.901
_cell_length_b 4.901
_cell_length_c 4.901
_cell_angle_alpha 90.00
_cell_angle_beta 90.00
_cell_angle_gamma 90.00
_space_group_name_H-M_alt 'P 1'
_space_group_IT_number 1
loop_
_space_group_symop_operation_xyz
'x,y,z'
loop_
_atom_site_label
_atom_site_type_symbol
_atom_site_fract_x
_atom_site_fract_y
_atom_site_fract_z
K1 K 0.000 0.000 0.000
Al1 Al 0.000 0.500 0.500
Al2 Al 0.500 0.000 0.500
Al3 Al 0.500 0.500 0.000
Pt1 Pt 0.500 0.500 0.500

# KAlPt2 PBE relaxed
# ΔE_f = 0.07 eV/atom
# Space-group type = I4/mmm, No. 139
data_KAlPt2
_cell_length_a 4.857
_cell_length_b 4.857
_cell_length_c 4.857
_cell_angle_alpha 125.70
_cell_angle_beta 125.70
_cell_angle_gamma 80.38
_space_group_name_H-M_alt 'P 1'
_space_group_IT_number 1
loop_
_space_group_symop_operation_xyz
'x,y,z'
loop_
_atom_site_label
_atom_site_type_symbol
_atom_site_fract_x
_atom_site_fract_y
_atom_site_fract_z
K1 K 0.000 0.000 0.000
Al1 Al 0.500 0.500 0.000
Pt1 Pt 0.250 0.750 0.500
Pt2 Pt 0.750 0.250 0.500

# KAlPt2 PBE relaxed
# ΔE_f = -0.01 eV/atom
# Space-group type = Cmmm, No. 65
data_KAlPt2
_cell_length_a 5.045
_cell_length_b 5.045
_cell_length_c 2.904
_cell_angle_alpha 90.00
_cell_angle_beta 90.00
_cell_angle_gamma 103.68
_space_group_name_H-M_alt 'P 1'
_space_group_IT_number 1
loop_
_space_group_symop_operation_xyz
'x,y,z'
loop_
_atom_site_label
_atom_site_type_symbol
_atom_site_fract_x
_atom_site_fract_y
_atom_site_fract_z
K1 K 0.000 0.000 0.000
Al1 Al 0.500 0.500 0.000
Pt1 Pt 0.000 0.500 0.500
Pt2 Pt 0.500 0.000 0.500

# KAlPt2 PBE relaxed
# ΔE_f = -0.13 eV/atom
# Space-group type = P4mm, No. 99
data_KAlPt2
_cell_length_a 3.384
_cell_length_b 3.384
_cell_length_c 7.613
_cell_angle_alpha 90.00
_cell_angle_beta 90.00
_cell_angle_gamma 90.00
_space_group_name_H-M_alt 'P 1'
_space_group_IT_number 1
loop_
_space_group_symop_operation_xyz
'x,y,z'
loop_
_atom_site_label
_atom_site_type_symbol
_atom_site_fract_x
_atom_site_fract_y
_atom_site_fract_z
K1 K 0.000 0.000 0.000
Al1 Al 0.500 0.500 0.616
Pt1 Pt 0.000 0.000 0.518
Pt2 Pt 0.500 0.500 0.294

# K2Al2Pt PBE relaxed
# ΔE_f = -0.13 eV/atom
# Space-group type = P4/mbm, No. 127
data_K2Al2Pt
_cell_length_a 6.661
_cell_length_b 6.661
_cell_length_c 6.001
_cell_angle_alpha 90.00
_cell_angle_beta 90.00
_cell_angle_gamma 90.00
_space_group_name_H-M_alt 'P 1'
_space_group_IT_number 1
loop_
_space_group_symop_operation_xyz
'x,y,z'
loop_
_atom_site_label
_atom_site_type_symbol
_atom_site_fract_x
_atom_site_fract_y
_atom_site_fract_z
K1 K 0.181 0.319 0.000
K2 K 0.319 0.819 0.000
K3 K 0.681 0.181 0.000
K4 K 0.819 0.681 0.000
Al1 Al 0.163 0.663 0.500
Al2 Al 0.337 0.163 0.500
Al3 Al 0.663 0.837 0.500
Al4 Al 0.837 0.337 0.500
Pt1 Pt 0.000 0.000 0.500
Pt2 Pt 0.500 0.500 0.500

# KTa2AlPt PBE relaxed
# ΔE_f = 1.30 eV/atom
# Space-group type = P4/mmm, No. 123
data_KTa2AlPt
_cell_length_a 4.938
_cell_length_b 4.938
_cell_length_c 5.642
_cell_angle_alpha 90.00
_cell_angle_beta 90.00
_cell_angle_gamma 90.00
_space_group_name_H-M_alt 'P 1'
_space_group_IT_number 1
loop_
_space_group_symop_operation_xyz
'x,y,z'
loop_
_atom_site_label
_atom_site_type_symbol
_atom_site_fract_x
_atom_site_fract_y
_atom_site_fract_z
K1 K 0.000 0.000 0.000
Ta1 Ta 0.000 0.500 0.500
Ta2 Ta 0.500 0.000 0.500
Al1 Al 0.500 0.500 0.000
Pt1 Pt 0.000 0.000 0.500

# KAlZn2Pt PBE relaxed
# ΔE_f = -0.31 eV/atom
# Space-group type = P4/mmm, No. 123
data_KAlZn2Pt
_cell_length_a 4.990
_cell_length_b 4.990
_cell_length_c 4.779
_cell_angle_alpha 90.00
_cell_angle_beta 90.00
_cell_angle_gamma 90.00
_space_group_name_H-M_alt 'P 1'
_space_group_IT_number 1
loop_
_space_group_symop_operation_xyz
'x,y,z'
loop_
_atom_site_label
_atom_site_type_symbol
_atom_site_fract_x
_atom_site_fract_y
_atom_site_fract_z
K1 K 0.000 0.000 0.000
Al1 Al 0.500 0.500 0.000
Zn1 Zn 0.000 0.500 0.500
Zn2 Zn 0.500 0.000 0.500
Pt1 Pt 0.500 0.500 0.500